Entry 1
Below is Nb6SnMo after structural relaxation, with properties calculated at the PBE level.

Cell lengths 7.464, 7.459, 5.273 Å; angles 45.02, 45.01, 60.00 degrees
Element x y z (fractional)
Nb  0.000  0.500  0.742
Nb  0.758  0.000  0.741
Nb  0.500  0.242  0.258
Nb  0.242  0.000  0.259
Nb  0.000  0.500  0.258
Nb  0.500  0.758  0.742
Sn  0.500  0.500  0.500
Mo  0.000  0.000  0.000

DOS(E_F): 6.0 states/eV/f.u.

=====

Entry 2
Below is Nb6SnMo after structural relaxation, with properties calculated at the PBE level.

Cell lengths 4.607, 5.765, 5.765 Å; angles 107.55, 90.00, 90.00 degrees
Element x y z (fractional)
Nb  0.500  0.125  0.375
Nb  0.500  0.625  0.875
Nb  0.000  0.347  0.097
Nb  0.000  0.903  0.653
Nb  0.000  0.386  0.614
Nb  0.000  0.864  0.136
Sn  0.500  0.625  0.375
Mo  0.500  0.125  0.875

DOS(E_F): 6.3 states/eV/f.u.

=====

Which structure loses on stability? entry 2 does.

=====

Entry 1
Below is Nb2Sn2Mo after structural relaxation, with properties calculated at the PBE level.

Cell lengths 7.210, 7.210, 3.775 Å; angles 90.00, 90.00, 90.00 degrees
Element x y z (fractional)
Mo  0.000  0.000  0.000
Mo  0.500  0.500  0.000
Sn  0.357  0.857  0.000
Sn  0.857  0.643  0.000
Sn  0.643  0.143  0.000
Sn  0.143  0.357  0.000
Nb  0.160  0.660  0.500
Nb  0.660  0.840  0.500
Nb  0.840  0.340  0.500
Nb  0.340  0.160  0.500

DOS(E_F): 4.1 states/eV/f.u.

=====

Entry 2
Below is Nb2Sn2Mo after structural relaxation, with properties calculated at the PBE level.

Cell lengths 3.779, 3.779, 7.702 Å; angles 75.80, 75.80, 90.00 degrees
Element x y z (fractional)
Mo  0.000  0.000  0.000
Sn  0.404  0.404  0.192
Sn  0.596  0.596  0.808
Nb  0.750  0.250  0.500
Nb  0.250  0.750  0.500

DOS(E_F): 5.6 states/eV/f.u.

=====

Entry 3
Below is Nb2Sn2Mo after structural relaxation, with properties calculated at the PBE level.

Cell lengths 3.817, 3.817, 7.763 Å; angles 75.77, 75.77, 90.00 degrees
Element x y z (fractional)
Mo  0.000  0.000  0.000
Sn  0.750  0.250  0.500
Sn  0.250  0.750  0.500
Nb  0.408  0.408  0.185
Nb  0.592  0.592  0.815

DOS(E_F): 3.7 states/eV/f.u.

=====

Which structure loses on stability? entry 3 does.